Entry 1:
The following is a DFT calculation (PBE) of a relaxed ErPaSb crystal.

- spin magnetization (μB/f.u.) = 3.07
- electronic total energy (eV/atom) = -5.49

Cell and atoms, written as CIF:
```
data_ErPaSb
_chemical_formula_sum 'Er1 Pa1 Sb1'
_symmetry_space_group_name_H-M 'P 1'
_symmetry_Int_Tables_number 1
_cell_length_a 5.207
_cell_length_b 5.207
_cell_length_c 5.207
_cell_angle_alpha 60.00
_cell_angle_beta 60.00
_cell_angle_gamma 60.00
loop_
_symmetry_equiv_pos_as_xyz
'x,y,z'
loop_
_atom_site_label
_atom_site_type_symbol
_atom_site_fract_x
_atom_site_fract_y
_atom_site_fract_z
Sb1 Sb 0.750 0.750 0.750
Pa1 Pa 0.000 0.000 0.000
Er1 Er 0.250 0.250 0.250
```

---

Entry 2:
The following is a DFT calculation (PBE) of a relaxed KSrLuSe3 crystal.

- spin magnetization (μB/f.u.) = 0.00
- electronic total energy (eV/atom) = -4.58

Cell and atoms, written as CIF:
```
data_KSrLuSe3
_chemical_formula_sum 'K2 Sr2 Lu2 Se6'
_symmetry_space_group_name_H-M 'P 1'
_symmetry_Int_Tables_number 1
_cell_length_a 7.478
_cell_length_b 4.200
_cell_length_c 11.726
_cell_angle_alpha 90.00
_cell_angle_beta 101.32
_cell_angle_gamma 90.00
loop_
_symmetry_equiv_pos_as_xyz
'x,y,z'
loop_
_atom_site_label
_atom_site_type_symbol
_atom_site_fract_x
_atom_site_fract_y
_atom_site_fract_z
Se1 Se 0.543 0.750 0.137
Se2 Se 0.457 0.250 0.863
Se3 Se 0.278 0.750 0.482
Se4 Se 0.019 0.750 0.129
Se5 Se 0.722 0.250 0.518
Se6 Se 0.981 0.250 0.871
K1 K 0.131 0.250 0.634
K2 K 0.869 0.750 0.366
Sr1 Sr 0.622 0.750 0.673
Sr2 Sr 0.378 0.250 0.327
Lu1 Lu 0.766 0.250 0.043
Lu2 Lu 0.234 0.750 0.957
```

---

Entry 3:
The following is a DFT calculation (PBE) of a relaxed Pr5B2C5 crystal.

- spin magnetization (μB/f.u.) = 0.00
- electronic total energy (eV/atom) = -7.17

Cell and atoms, written as CIF:
```
data_Pr5B2C5
_chemical_formula_sum 'Pr20 B8 C20'
_symmetry_space_group_name_H-M 'P 1'
_symmetry_Int_Tables_number 1
_cell_length_a 8.663
_cell_length_b 8.663
_cell_length_c 11.075
_cell_angle_alpha 90.00
_cell_angle_beta 90.00
_cell_angle_gamma 90.00
loop_
_symmetry_equiv_pos_as_xyz
'x,y,z'
loop_
_atom_site_label
_atom_site_type_symbol
_atom_site_fract_x
_atom_site_fract_y
_atom_site_fract_z
Pr1 Pr 0.657 0.037 0.102
Pr2 Pr 0.537 0.157 0.398
Pr3 Pr 0.157 0.963 0.398
Pr4 Pr 0.463 0.843 0.602
Pr5 Pr 0.750 0.750 0.356
Pr6 Pr 0.843 0.037 0.602
Pr7 Pr 0.343 0.537 0.398
Pr8 Pr 0.537 0.343 0.898
Pr9 Pr 0.037 0.843 0.102
Pr10 Pr 0.463 0.657 0.102
Pr11 Pr 0.343 0.963 0.898
Pr12 Pr 0.750 0.750 0.856
Pr13 Pr 0.250 0.250 0.644
Pr14 Pr 0.963 0.157 0.898
Pr15 Pr 0.037 0.657 0.602
Pr16 Pr 0.963 0.343 0.398
Pr17 Pr 0.157 0.537 0.898
Pr18 Pr 0.250 0.250 0.144
Pr19 Pr 0.657 0.463 0.602
Pr20 Pr 0.843 0.463 0.102
C1 C 0.449 0.854 0.371
C2 C 0.551 0.354 0.129
C3 C 0.750 0.750 0.095
C4 C 0.146 0.551 0.129
C5 C 0.250 0.250 0.405
C6 C 0.051 0.646 0.371
C7 C 0.354 0.551 0.629
C8 C 0.646 0.449 0.371
C9 C 0.551 0.146 0.629
C10 C 0.354 0.949 0.129
C11 C 0.051 0.854 0.871
C12 C 0.646 0.051 0.871
C13 C 0.854 0.449 0.871
C14 C 0.854 0.051 0.371
C15 C 0.146 0.949 0.629
C16 C 0.949 0.354 0.629
C17 C 0.250 0.250 0.905
C18 C 0.449 0.646 0.871
C19 C 0.750 0.750 0.595
C20 C 0.949 0.146 0.129
B1 B 0.406 0.906 0.250
B2 B 0.094 0.906 0.750
B3 B 0.594 0.406 0.250
B4 B 0.094 0.594 0.250
B5 B 0.906 0.094 0.250
B6 B 0.594 0.094 0.750
B7 B 0.906 0.406 0.750
B8 B 0.406 0.594 0.750
```

---

Entry 4:
The following is a DFT calculation (PBE) of a relaxed FeSiHgMo crystal.

- spin magnetization (μB/f.u.) = 1.94
- electronic total energy (eV/atom) = -5.46

Cell and atoms, written as CIF:
```
data_FeSiHgMo
_chemical_formula_sum 'Fe1 Si1 Hg1 Mo1'
_symmetry_space_group_name_H-M 'P 1'
_symmetry_Int_Tables_number 1
_cell_length_a 4.441
_cell_length_b 4.441
_cell_length_c 4.441
_cell_angle_alpha 60.00
_cell_angle_beta 60.00
_cell_angle_gamma 60.00
loop_
_symmetry_equiv_pos_as_xyz
'x,y,z'
loop_
_atom_site_label
_atom_site_type_symbol
_atom_site_fract_x
_atom_site_fract_y
_atom_site_fract_z
Hg1 Hg 0.250 0.250 0.250
Fe1 Fe 0.750 0.750 0.750
Mo1 Mo 0.500 0.500 0.500
Si1 Si 0.000 0.000 0.000
```

---

Entry 5:
The following is a DFT calculation (PBE) of a relaxed TmNiB4 crystal.

- spin magnetization (μB/f.u.) = 0.00
- electronic total energy (eV/atom) = -6.35

Cell and atoms, written as CIF:
```
data_TmNiB4
_chemical_formula_sum 'Tm1 Ni1 B4'
_symmetry_space_group_name_H-M 'P 1'
_symmetry_Int_Tables_number 1
_cell_length_a 4.733
_cell_length_b 4.733
_cell_length_c 4.733
_cell_angle_alpha 141.33
_cell_angle_beta 112.49
_cell_angle_gamma 80.61
loop_
_symmetry_equiv_pos_as_xyz
'x,y,z'
loop_
_atom_site_label
_atom_site_type_symbol
_atom_site_fract_x
_atom_site_fract_y
_atom_site_fract_z
B1 B 0.428 0.755 0.673
B2 B 0.082 0.755 0.327
B3 B 0.572 0.245 0.327
B4 B 0.918 0.245 0.673
Ni1 Ni 0.000 0.000 0.000
Tm1 Tm 0.500 0.500 0.000
```

---

Entry 6:
The following is a DFT calculation (PBE) of a relaxed RbIr8 crystal.

- spin magnetization (μB/f.u.) = 0.01
- electronic total energy (eV/atom) = -7.42

Cell and atoms, written as CIF:
```
data_RbIr8
_chemical_formula_sum 'Rb2 Ir16'
_symmetry_space_group_name_H-M 'P 1'
_symmetry_Int_Tables_number 1
_cell_length_a 12.797
_cell_length_b 12.498
_cell_length_c 5.291
_cell_angle_alpha 81.11
_cell_angle_beta 74.78
_cell_angle_gamma 24.11
loop_
_symmetry_equiv_pos_as_xyz
'x,y,z'
loop_
_atom_site_label
_atom_site_type_symbol
_atom_site_fract_x
_atom_site_fract_y
_atom_site_fract_z
Ir1 Ir 0.899 0.351 0.303
Ir2 Ir 0.351 0.899 0.947
Ir3 Ir 0.686 0.222 0.603
Ir4 Ir 0.803 0.947 0.899
Ir5 Ir 0.564 0.028 0.647
Ir6 Ir 0.447 0.303 0.351
Ir7 Ir 0.947 0.803 0.351
Ir8 Ir 0.603 0.488 0.686
Ir9 Ir 0.028 0.564 0.762
Ir10 Ir 0.762 0.647 0.028
Ir11 Ir 0.899 0.351 0.803
Ir12 Ir 0.351 0.899 0.447
Ir13 Ir 0.222 0.686 0.488
Ir14 Ir 0.647 0.762 0.564
Ir15 Ir 0.488 0.603 0.222
Ir16 Ir 0.303 0.447 0.899
Rb1 Rb 0.250 0.250 0.250
Rb2 Rb 0.000 0.000 0.000
```

---

Entry 7:
The following is a DFT calculation (PBE) of a relaxed KFeHgS3 crystal.

- spin magnetization (μB/f.u.) = 3.21
- electronic total energy (eV/atom) = -4.07

Cell and atoms, written as CIF:
```
data_KFeHgS3
_chemical_formula_sum 'K2 Fe2 Hg2 S6'
_symmetry_space_group_name_H-M 'P 1'
_symmetry_Int_Tables_number 1
_cell_length_a 8.676
_cell_length_b 3.836
_cell_length_c 9.563
_cell_angle_alpha 90.00
_cell_angle_beta 105.53
_cell_angle_gamma 90.00
loop_
_symmetry_equiv_pos_as_xyz
'x,y,z'
loop_
_atom_site_label
_atom_site_type_symbol
_atom_site_fract_x
_atom_site_fract_y
_atom_site_fract_z
S1 S 0.392 0.250 0.672
S2 S 0.324 0.750 0.987
S3 S 0.608 0.750 0.328
S4 S 0.968 0.250 0.671
S5 S 0.032 0.750 0.329
S6 S 0.676 0.250 0.013
Hg1 Hg 0.845 0.250 0.386
Hg2 Hg 0.155 0.750 0.614
K1 K 0.708 0.750 0.727
K2 K 0.292 0.250 0.273
Fe1 Fe 0.586 0.750 0.095
Fe2 Fe 0.414 0.250 0.905
```

---

Entry 8:
The following is a DFT calculation (PBE) of a relaxed Dy5In4Pd2 crystal.

- spin magnetization (μB/f.u.) = 0.20
- electronic total energy (eV/atom) = -4.72

Cell and atoms, written as CIF:
```
data_Dy5In4Pd2
_chemical_formula_sum 'Dy10 In8 Pd4'
_symmetry_space_group_name_H-M 'P 1'
_symmetry_Int_Tables_number 1
_cell_length_a 18.235
_cell_length_b 8.057
_cell_length_c 3.657
_cell_angle_alpha 90.00
_cell_angle_beta 90.00
_cell_angle_gamma 90.00
loop_
_symmetry_equiv_pos_as_xyz
'x,y,z'
loop_
_atom_site_label
_atom_site_type_symbol
_atom_site_fract_x
_atom_site_fract_y
_atom_site_fract_z
Pd1 Pd 0.196 0.526 0.500
Pd2 Pd 0.804 0.474 0.500
Pd3 Pd 0.304 0.026 0.500
Pd4 Pd 0.696 0.974 0.500
Dy1 Dy 0.720 0.257 0.000
Dy2 Dy 0.583 0.883 0.000
Dy3 Dy 0.917 0.383 0.000
Dy4 Dy 0.083 0.617 0.000
Dy5 Dy 0.417 0.117 0.000
Dy6 Dy 0.280 0.743 0.000
Dy7 Dy 0.220 0.243 0.000
Dy8 Dy 0.500 0.500 0.000
Dy9 Dy 0.780 0.757 0.000
Dy10 Dy 0.000 0.000 0.000
In1 In 0.150 0.923 0.500
In2 In 0.431 0.789 0.500
In3 In 0.069 0.289 0.500
In4 In 0.931 0.711 0.500
In5 In 0.650 0.577 0.500
In6 In 0.850 0.077 0.500
In7 In 0.569 0.211 0.500
In8 In 0.350 0.423 0.500
```

---

Entry 9:
The following is a DFT calculation (PBE) of a relaxed YLuIn crystal.

- spin magnetization (μB/f.u.) = 0.01
- electronic total energy (eV/atom) = -4.68

Cell and atoms, written as CIF:
```
data_YLuIn
_chemical_formula_sum 'Y1 Lu1 In1'
_symmetry_space_group_name_H-M 'P 1'
_symmetry_Int_Tables_number 1
_cell_length_a 5.125
_cell_length_b 5.125
_cell_length_c 5.125
_cell_angle_alpha 60.00
_cell_angle_beta 60.00
_cell_angle_gamma 60.00
loop_
_symmetry_equiv_pos_as_xyz
'x,y,z'
loop_
_atom_site_label
_atom_site_type_symbol
_atom_site_fract_x
_atom_site_fract_y
_atom_site_fract_z
Lu1 Lu 0.250 0.250 0.250
Y1 Y 0.750 0.750 0.750
In1 In 0.000 0.000 0.000
```

---

Entry 10:
The following is a DFT calculation (PBE) of a relaxed TmNi crystal.

- spin magnetization (μB/f.u.) = 0.00
- energy of formation from the pure elements (meV/atom) = -234
- electronic total energy (eV/atom) = -5.26

Cell and atoms, written as CIF:
```
data_TmNi
_chemical_formula_sum 'Tm1 Ni1'
_symmetry_space_group_name_H-M 'P 1'
_symmetry_Int_Tables_number 1
_cell_length_a 3.997
_cell_length_b 3.997
_cell_length_c 3.997
_cell_angle_alpha 54.68
_cell_angle_beta 54.68
_cell_angle_gamma 54.68
loop_
_symmetry_equiv_pos_as_xyz
'x,y,z'
loop_
_atom_site_label
_atom_site_type_symbol
_atom_site_fract_x
_atom_site_fract_y
_atom_site_fract_z
Ni1 Ni 0.000 0.000 0.000
Tm1 Tm 0.500 0.500 0.500
```